# 1
4
Lattice="0.0000 3.1727 3.1727 3.1727 0.0000 3.1727 3.1727 3.1727 0.0000" Properties=species:S:1:pos:R:3 comment="ZrNbS2, relaxed, DFT PBE" formation_energy_uncorrected_mev_per_atom=-920 relative_energy_mev_per_atom=177 total_energy_ev_per_atom=-7.639 spacegroup="Fm-3m, No. 225" pbc="T T T"
S 1.5864 1.5864 1.5864
S 4.7591 4.7591 4.7591
Zr 0.0000 0.0000 0.0000
Nb 3.1727 3.1727 3.1727

# 2
6
Lattice="3.5453 0.0000 0.0000 0.0000 3.5453 0.0000 0.0000 0.0000 10.5486" Properties=species:S:1:pos:R:3 comment="Sc3InHg2, relaxed, DFT PBE" formation_enthalpy_0k_ev_per_atom=-0.425 total_energy_ev_per_atom=-4.148 spacegroup="P4/mmm, No. 123" pbc="T T T"
In 1.7727 1.7727 5.2743
Hg 1.7727 1.7727 1.7345
Sc 0.0000 0.0000 0.0000
Sc 0.0000 0.0000 3.4573
Sc 0.0000 0.0000 7.0913
Hg 1.7727 1.7727 8.8141

# 3
7
Lattice="-0.3660 -3.9163 0.5310 2.4437 -2.8392 -4.4224 5.3718 -2.2608 1.8624" Properties=species:S:1:pos:R:3 comment="Tm2Ga2Os2C, relaxed, DFT PBE" formation_enthalpy_0k_ev_per_atom=-0.477 total_energy_ev_per_atom=-7.145 spacegroup="C2/m, No. 12" pbc="T T T"
Tm 3.4489 -4.7460 -2.9594
Ga 2.6564 -2.3982 -1.0233
C 0.0000 0.0000 0.0000
Ga 4.7931 -6.6180 -1.0058
Tm 4.0006 -4.2702 0.9303
Os 0.9325 -4.2192 -0.8083
Os 6.5169 -4.7971 -1.2207

# 4
13
Lattice="-1.3782 4.2503 3.4131 1.5488 -1.0048 6.5079 4.9572 4.7141 0.7625" Properties=species:S:1:pos:R:3 comment="NdZn10Ga2, relaxed, DFT PBE" formation_enthalpy_0k_ev_per_atom=-0.153 total_energy_ev_per_atom=-1.965 spacegroup="Fmmm, No. 69" pbc="T T T"
Zn 4.0881 5.9381 8.1497
Ga 0.0853 1.6227 4.9605
Ga 0.7744 -0.5024 3.2540
Zn 2.4786 2.3570 0.3813
Nd 0.0000 0.0000 0.0000
Zn 1.7895 4.4822 2.0878
Zn 3.6909 3.8867 5.9127
Zn 1.0397 2.0214 2.5338
Zn 1.6231 2.3668 6.9705
Zn 1.4046 5.2795 7.8863
Zn 3.5047 5.5927 3.7130
Zn 1.4370 4.0729 4.7708
Zn 3.7232 2.6800 2.7972

# 5
7
Lattice="-1.8455 -3.5288 0.9445 -0.5063 -0.8009 -3.9816 4.6848 -2.4761 -0.0977" Properties=species:S:1:pos:R:3 comment="MgFeNi5, relaxed, DFT PBE" formation_enthalpy_0k_ev_per_atom=0.152 total_energy_ev_per_atom=-5.414 spacegroup="P4/mmm, No. 123" pbc="T T T"
Mg 2.3424 -1.2381 -0.0488
Ni 3.3523 -2.3061 -2.0660
Ni 0.1566 -2.3349 0.4497
Fe -1.1759 -2.1648 -1.5185
Ni 0.8262 -0.9709 -2.0133
Ni 1.1665 -3.4029 -1.5674
Ni 2.6827 -3.6701 0.3971

# 6
4
Lattice="-1.4507 -2.4370 -1.3620 0.8992 -0.9710 -2.8543 7.2816 -8.2465 3.3653" Properties=species:S:1:pos:R:3 comment="Pu2HfAl, relaxed, DFT PBE" formation_enthalpy_0k_ev_per_atom=0.345 relative_energy_mev_per_atom=434 total_energy_ev_per_atom=-10.245 spacegroup="R-3m, No. 166" pbc="T T T"
Pu 1.4376 -5.3025 -2.9451
Hf 3.3650 -5.8272 -0.4255
Pu 5.2925 -6.3519 2.0942
Al 0.0000 0.0000 0.0000

# 7
18
Lattice="5.7224 0.0000 0.0000 -2.8612 10.6362 0.0000 0.0000 0.0000 9.7022" Properties=species:S:1:pos:R:3 comment="NdDy5Er2Th, relaxed, DFT PBE" formation_enthalpy_0k_ev_per_atom=0.165 total_energy_ev_per_atom=-4.760 spacegroup="Cmc2_1, No. 36" pbc="T T T"
Dy 0.0000 5.6863 3.2425
Nd 2.8612 2.0357 8.9571
Er 2.8612 7.7990 2.0058
Er 2.8612 8.2468 7.9937
Er 0.0000 2.8371 6.8569
Th 0.0000 4.0499 0.2328
Dy 2.8612 4.1410 2.0915
Dy 0.0000 10.0188 7.2078
Dy 0.0000 6.4952 6.9426
Dy 2.8612 10.3474 5.0068
Er 0.0000 2.3893 3.1426
Dy 2.8612 4.9498 8.0936
Dy 2.8612 0.6174 2.3567
Nd 0.0000 8.6004 4.1060
Dy 0.0000 0.2887 0.1557
Dy 2.8612 2.2620 5.2142
Th 2.8612 6.5863 5.0839
Dy 0.0000 8.3742 0.3631

# 8
4
Lattice="-2.1420 -0.0441 -1.5661 -0.5648 -1.0164 2.3855 -2.1606 7.6316 2.7401" Properties=species:S:1:pos:R:3 comment="Cr2SiAg, relaxed, DFT PBE" formation_energy_uncorrected_mev_per_atom=300 total_energy_ev_per_atom=-6.581 spacegroup="Cmm2, No. 35" pbc="T T T"
Si -1.0154 3.5865 1.2877
Cr -1.8832 1.3411 1.0816
Ag -2.9770 5.2046 2.4688
Cr -0.0721 0.2546 0.0914

# 9
3
Lattice="5.4192 0.0361 0.0005 3.5067 4.1319 -0.0005 -4.3303 -2.3680 2.2383" Properties=species:S:1:pos:R:3 comment="ScCuMo, relaxed, DFT PBE" formation_enthalpy_0k_ev_per_atom=0.197 relative_energy_mev_per_atom=77 total_energy_ev_per_atom=-6.890 spacegroup="Imm2, No. 44" pbc="T T T"
Sc 3.0129 1.4069 0.0000
Mo 5.8069 2.7115 0.0000
Cu 0.1061 0.0496 0.0000

# 10
12
Lattice="7.2682 0.0000 0.0000 0.0000 5.9700 0.7656 0.0000 -0.7373 5.7496" Properties=species:S:1:pos:R:3 comment="HPbS, relaxed, DFT PBE" total_energy_ev_per_atom=-3.774 spacegroup="Cmcm, No. 63" pbc="T T T"
Pb 4.1013 1.3085 1.6286
H 5.5234 3.9244 4.8878
Pb 3.1669 3.9241 4.8866
Pb 0.4672 4.2928 2.0118
S 6.9705 3.9242 4.8871
S 3.3364 0.9398 4.5028
H 5.3790 4.2931 2.0130
H 1.8893 0.9396 4.5022
Pb 6.8011 0.9399 4.5034
H 1.7449 1.3082 1.6274
S 0.2977 1.3085 1.6280
S 3.9318 4.2928 2.0123

# 11
4
Lattice="-1.1603 1.4638 -3.1977 1.4878 -1.1250 -3.1992 -8.5233 -8.7170 -3.0419" Properties=species:S:1:pos:R:3 comment="Ca2PmSm, relaxed, DFT PBE" formation_enthalpy_0k_ev_per_atom=0.101 relative_energy_mev_per_atom=60 total_energy_ev_per_atom=-3.267 spacegroup="R3m, No. 160" pbc="T T T"
Pm 0.2106 0.2179 -4.2654
Sm -4.0898 -4.1808 -4.7186
Ca -2.0599 -2.1057 -2.3609
Ca -6.3545 -6.4987 -2.8134

# 12
18
Lattice="5.0209 0.1295 0.4975 0.6111 7.7764 2.3985 0.2405 0.0200 8.1573" Properties=species:S:1:pos:R:3 comment="LiMg2Au6, relaxed, DFT PBE" formation_enthalpy_0k_ev_per_atom=-0.438 relative_energy_mev_per_atom=0 total_energy_ev_per_atom=-3.189 spacegroup="C2/c, No. 15" pbc="T T T"
Au 0.5350 4.4804 3.9585
Mg 3.2391 3.6345 3.0901
Au 4.9497 5.2205 9.3940
Au 3.8039 1.9170 8.9344
Au 0.9227 2.7055 1.6593
Mg 2.6333 4.2914 7.9632
Au 1.5724 7.6901 4.3513
Li 1.5412 1.0050 7.5743
Au 3.3398 0.8165 3.3586
Au 2.9234 5.3981 5.3483
Au 4.3001 0.2358 6.7020
Au 5.3375 3.4455 7.0948
Au 2.0686 6.0090 2.1189
Mg 0.6367 1.6450 4.2703
Li 4.3312 6.9209 3.4790
Au 2.5326 7.1095 7.6946
Mg 5.2358 6.2809 6.7830
Au 2.9491 2.5278 5.7050